8
Lattice="4.099 0.000 0.000 0.000 4.099 0.000 0.000 0.000 9.297" Properties=species:S:1:pos:R:3 comment="AgTePdO, optimized geometry, DFT PBE" spacegroup=P4/nmm polymorph_energy_ev_per_atom=0.181 pbc="T T T"
Ag 1.025 1.025 1.467
Ag 3.074 3.074 7.830
Te 1.025 1.025 7.826
Te 3.074 3.074 1.471
Pd 1.025 1.025 5.146
Pd 3.074 3.074 4.152
O 1.025 3.074 4.649
O 3.074 1.025 4.649



16
Lattice="5.775 0.000 0.000 0.000 6.935 0.000 0.000 0.000 7.256" Properties=species:S:1:pos:R:3 comment="AgTePdO, optimized geometry, DFT PBE" spacegroup=P2_12_12_1 polymorph_energy_ev_per_atom=0.126 pbc="T T T"
Ag 0.212 1.576 3.261
Ag 2.676 5.359 6.890
Ag 3.099 1.891 3.995
Ag 5.563 5.044 0.367
Te 1.112 3.442 5.451
Te 1.776 3.493 1.823
Te 4.000 0.026 1.805
Te 4.663 6.910 5.433
Pd 0.114 5.174 3.402
Pd 2.773 1.762 7.030
Pd 3.002 5.229 3.854
Pd 5.661 1.706 0.226
O 1.303 0.387 6.879
O 1.585 6.548 3.251
O 4.190 3.081 0.377
O 4.472 3.855 4.005